A:
Below is HfBiB3 after structural relaxation, with properties calculated at the PBE level.

Unit cell a=4.5166 b=4.5166 c=4.5166 alpha=90.00 beta=90.00 gamma=90.00
Closest atoms and distances in Å follow each position.
Atoms (fractional coordinates):
Hf 0.5000 0.5000 0.5000  12 B 3.19
B 0.5000 0.0000 0.0000  2 Bi 2.26
B 0.0000 0.0000 0.5000  2 Bi 2.26
B 0.0000 0.5000 0.0000  2 Bi 2.26
Bi 0.0000 0.0000 0.0000  6 B 2.26

Density of states at the Fermi level ... 4.0 states/eV/cell
Crystal system ... cubic

---

B:
Below is HfBiB3 after structural relaxation, with properties calculated at the PBE level.

Unit cell a=4.4711 b=4.4711 c=4.4711 alpha=90.00 beta=90.00 gamma=90.00
Closest atoms and distances in Å follow each position.
Atoms (fractional coordinates):
B 0.0000 0.0000 0.5000  2 Hf 2.24
B 0.5000 0.0000 0.0000  2 Hf 2.24
B 0.0000 0.5000 0.0000  2 Hf 2.24
Bi 0.5000 0.5000 0.5000  12 B 3.16
Hf 0.0000 0.0000 0.0000  6 B 2.24

Density of states at the Fermi level ... 1.9 states/eV/cell
Crystal system ... cubic

---

The structure with the most favorable energy is B; the runner-up is 891 meV per atom above it.

---

A:
Below is Hf3BiB after structural relaxation, with properties calculated at the PBE level.

Unit cell a=4.6508 b=4.6508 c=4.6508 alpha=90.00 beta=90.00 gamma=90.00
Closest atoms and distances in Å follow each position.
Atoms (fractional coordinates):
Hf 0.5000 0.0000 0.0000  2 B 2.33
Hf 0.0000 0.5000 0.0000  2 B 2.33
Hf 0.0000 0.0000 0.5000  2 B 2.33
Bi 0.5000 0.5000 0.5000  12 Hf 3.29
B 0.0000 0.0000 0.0000  6 Hf 2.33

Density of states at the Fermi level ... 3.5 states/eV/cell
Crystal system ... cubic

---

B:
Below is Hf3BiB after structural relaxation, with properties calculated at the PBE level.

Unit cell a=3.6157 b=6.5402 c=8.9252 alpha=105.01 beta=90.00 gamma=90.00
Closest atoms and distances in Å follow each position.
Atoms (fractional coordinates):
Hf 0.2500 0.6925 0.0981  1 B 2.32
Hf 0.7500 0.5752 0.3548  2 B 2.34
Hf 0.2500 0.9500 0.6323  3 B 2.31-2.41
Hf 0.7500 0.3075 0.9019  1 B 2.32
Hf 0.2500 0.4248 0.6452  2 B 2.34
Hf 0.7500 0.0500 0.3677  3 B 2.31-2.41
B 0.7500 0.1932 0.6330  6 Hf 2.31-2.41
B 0.2500 0.8068 0.3670  6 Hf 2.31-2.41
Bi 0.7500 0.7768 0.8445  8 Hf 3.04-3.37
Bi 0.2500 0.2232 0.1555  8 Hf 3.04-3.37

Density of states at the Fermi level ... 6.9 states/eV/cell
Crystal system ... monoclinic

---

The structure with the most favorable energy is B; the runner-up is 121 meV per atom above it.

---

A:
Below is Hf2BiBPt after structural relaxation, with properties calculated at the PBE level.

Unit cell a=5.3901 b=4.2723 c=5.3901 alpha=90.00 beta=90.00 gamma=90.00
Closest atoms and distances in Å follow each position.
Atoms (fractional coordinates):
B 0.0000 0.5000 0.0000  2 Bi 2.14
Bi 0.0000 0.0000 0.0000  2 B 2.14
Pt 0.5000 0.5000 0.5000  8 Hf 3.44, 4 B 3.81
Hf 0.0000 0.0000 0.5000  2 Bi 2.70
Hf 0.5000 0.0000 0.0000  2 Bi 2.70

Density of states at the Fermi level ... 2.7 states/eV/cell
Crystal system ... tetragonal

---

B:
Below is Hf2BiBPt after structural relaxation, with properties calculated at the PBE level.

Unit cell a=5.3903 b=4.9568 c=5.3903 alpha=90.00 beta=90.00 gamma=90.00
Closest atoms and distances in Å follow each position.
Atoms (fractional coordinates):
Hf 0.5000 0.0000 0.0000  2 Bi 2.70
Hf 0.0000 0.0000 0.5000  2 Bi 2.70
Bi 0.0000 0.0000 0.0000  2 Pt 2.48, 4 Hf 2.70
Pt 0.0000 0.5000 0.0000  2 Bi 2.48
B 0.5000 0.5000 0.5000  8 Hf 3.66, 4 Pt 3.81

Density of states at the Fermi level ... 6.0 states/eV/cell
Crystal system ... tetragonal

---

The structure with the most favorable energy is A; the runner-up is 381 meV per atom above it.

---

A:
Below is HfBi2BRu after structural relaxation, with properties calculated at the PBE level.

Unit cell a=5.6236 b=4.7379 c=5.6236 alpha=90.00 beta=90.00 gamma=90.00
Closest atoms and distances in Å follow each position.
Atoms (fractional coordinates):
B 0.5000 0.5000 0.5000  8 Bi 3.68, 4 Ru 3.98
Hf 0.0000 0.0000 0.0000  2 Ru 2.37
Bi 0.0000 0.0000 0.5000  2 Hf 2.81
Bi 0.5000 0.0000 0.0000  2 Hf 2.81
Ru 0.0000 0.5000 0.0000  2 Hf 2.37

Density of states at the Fermi level ... 5.2 states/eV/cell
Crystal system ... tetragonal

---

B:
Below is HfBi2BRu after structural relaxation, with properties calculated at the PBE level.

Unit cell a=5.4271 b=3.8921 c=5.4271 alpha=90.00 beta=90.00 gamma=90.00
Closest atoms and distances in Å follow each position.
Atoms (fractional coordinates):
B 0.0000 0.5000 0.0000  2 Ru 1.95
Bi 0.5000 0.0000 0.0000  2 Ru 2.71
Bi 0.0000 0.0000 0.5000  2 Ru 2.71
Ru 0.0000 0.0000 0.0000  2 B 1.95
Hf 0.5000 0.5000 0.5000  8 Bi 3.34

Density of states at the Fermi level ... 4.0 states/eV/cell
Crystal system ... tetragonal

---

The structure with the most favorable energy is B; the runner-up is 1004 meV per atom above it.